DFT (GGA-PBE) results for a relaxed structure of MnIrRu2.

Computed properties:
N(E_F) in states/eV/f.u.: 3.3
Energy above the most stable polymorph in this dataset in meV/atom: 86
Magnetization in μB per cell: 0.01

Unit cell a=4.077 b=2.684 c=5.098 alpha=74.67 beta=90.00 gamma=90.00
Positions (direct):
Ir (0.000, 0.544, 0.537)
Ru (0.500, 0.202, 0.220)
Ru (0.000, 0.810, 0.004)
Mn (0.500, 0.943, 0.739)